! TaInTeI2 (PBE, relaxed); values from VASP
! uncorrected formation energy	52.6	kJ/mol of formula units
! D(E_F)	4.0	states/eV per cell
! energy relative to the lowest polymorph listed for this composition	0.0000	eV/atom
! magnetic moment	0.39	μB/atom
! electronic total energy	-20.29	eV/cell
&SYSTEM
  ibrav = 0, nat = 5, ntyp = 4
/
ATOMIC_SPECIES
Ta 180.95 Ta.upf
In 114.82 In.upf
Te 127.60 Te.upf
I 126.90 I.upf
ATOMIC_POSITIONS angstrom
Ta 0.000 0.000 0.000
In 2.985 2.985 2.724
Te 0.000 0.000 2.724
I 0.000 2.985 0.000
I 2.985 0.000 0.000
CELL_PARAMETERS angstrom
5.970 0.000 0.000
0.000 5.970 0.000
0.000 0.000 5.447

=====

! Be2SbSe4 (PBE, relaxed); values from VASP
! uncorrected formation energy	181.1	kJ/mol of formula units
! D(E_F)	10.9	states/eV per cell
! magnetic moment	0.00	μB/atom
! electronic total energy	-47.27	eV/cell
&SYSTEM
  ibrav = 0, nat = 14, ntyp = 3
/
ATOMIC_SPECIES
Be 9.01 Be.upf
Sb 121.76 Sb.upf
Se 78.96 Se.upf
ATOMIC_POSITIONS angstrom
Be 0.000 0.000 1.074
Be 0.000 0.000 10.948
Be 2.648 2.648 4.937
Be 2.648 2.648 7.086
Sb 0.000 0.000 6.011
Sb 2.648 2.648 0.000
Se 0.000 0.000 3.130
Se 0.000 0.000 8.892
Se 0.000 2.648 0.000
Se 0.000 2.648 6.011
Se 2.648 0.000 0.000
Se 2.648 0.000 6.011
Se 2.648 2.648 2.881
Se 2.648 2.648 9.142
CELL_PARAMETERS angstrom
5.295 0.000 0.000
0.000 5.295 0.000
0.000 0.000 12.022

=====

! Be2NiIr (PBE, relaxed); values from VASP
! DFT formation energy	-0.17	eV per atom
! D(E_F)	18.8	states/eV per cell
! energy relative to the lowest polymorph listed for this composition	0.4068	eV/atom
! magnetic moment	0.01	μB/atom
! electronic total energy	-91.10	eV/cell
&SYSTEM
  ibrav = 0, nat = 16, ntyp = 3
/
ATOMIC_SPECIES
Be 9.01 Be.upf
Ni 58.69 Ni.upf
Ir 192.22 Ir.upf
ATOMIC_POSITIONS angstrom
Be 0.000 0.000 0.000
Be 0.000 2.784 2.784
Be 1.392 1.392 1.392
Be 1.392 4.177 4.177
Be 2.784 0.000 2.784
Be 2.784 2.784 0.000
Be 4.177 1.392 4.177
Be 4.177 4.177 1.392
Ni 0.000 0.000 2.784
Ni 0.000 2.784 0.000
Ni 2.784 0.000 0.000
Ni 2.784 2.784 2.784
Ir 1.392 1.392 4.177
Ir 1.392 4.177 1.392
Ir 4.177 1.392 1.392
Ir 4.177 4.177 4.177
CELL_PARAMETERS angstrom
5.569 0.000 0.000
0.000 5.569 0.000
0.000 0.000 5.569

=====

! Sm2CdAg4 (PBE, relaxed); values from VASP
! DFT formation energy	0.24	eV per atom
! D(E_F)	11.8	states/eV per cell
! energy relative to the lowest polymorph listed for this composition	0.4692	eV/atom
! magnetic moment	0.00	μB/atom
! electronic total energy	-40.10	eV/cell
&SYSTEM
  ibrav = 0, nat = 14, ntyp = 3
/
ATOMIC_SPECIES
Sm 150.36 Sm.upf
Cd 112.41 Cd.upf
Ag 107.87 Ag.upf
ATOMIC_POSITIONS angstrom
Sm 0.000 0.000 1.936
Sm 0.000 0.000 13.376
Sm 2.539 2.539 5.720
Sm 2.539 2.539 9.592
Cd 0.000 0.000 7.656
Cd 2.539 2.539 0.000
Ag 0.000 0.000 4.905
Ag 0.000 0.000 10.407
Ag 0.000 2.539 0.000
Ag 0.000 2.539 7.656
Ag 2.539 0.000 0.000
Ag 2.539 0.000 7.656
Ag 2.539 2.539 2.751
Ag 2.539 2.539 12.561
CELL_PARAMETERS angstrom
5.079 0.000 0.000
0.000 5.079 0.000
0.000 0.000 15.312